[1]
Below is PmTa after structural relaxation, with properties calculated at the GGA-PBE level.

The structure in POSCAR format:
```
PmTa
1.0
3.1705 0.0000 0.0000
-1.5853 2.7458 0.0000
0.0000 0.0000 5.4801
Pm Ta
1 1
Direct
0.0000 0.0000 0.0000
0.6667 0.3333 0.5000
```

relative energy among the computed polymorphs = 0.0 kJ per mole of atoms
electronic total energy = -15.33 eV per cell

[2]
Below is Pm2Ta after structural relaxation, with properties calculated at the GGA-PBE level.

The structure in POSCAR format:
```
Pm2Ta
1.0
0.0000 6.0615 6.0615
6.0615 0.0000 6.0615
6.0615 6.0615 0.0000
Pm Ta
4 2
Direct
0.0000 0.0000 0.0000
0.0000 0.0000 0.5000
0.0000 0.5000 0.0000
0.5000 0.0000 0.0000
0.1250 0.1250 0.1250
0.8750 0.8750 0.8750
```

relative energy among the computed polymorphs = 121.2 kJ per mole of atoms
electronic total energy = -29.62 eV per cell

[3]
Below is Pm2Ta after structural relaxation, with properties calculated at the GGA-PBE level.

The structure in POSCAR format:
```
Pm2Ta
1.0
0.0000 4.3105 4.3105
4.3105 0.0000 4.3105
4.3105 4.3105 0.0000
Pm Ta
4 2
Direct
0.0000 0.0000 0.0000
0.0000 0.0000 0.5000
0.0000 0.5000 0.0000
0.5000 0.0000 0.0000
0.3750 0.3750 0.3750
0.6250 0.6250 0.6250
```

relative energy among the computed polymorphs = 17.7 kJ per mole of atoms
electronic total energy = -36.06 eV per cell

[4]
Below is PmTa2 after structural relaxation, with properties calculated at the GGA-PBE level.

The structure in POSCAR format:
```
PmTa2
1.0
0.0000 3.3295 3.3295
3.3295 0.0000 3.3295
3.3295 3.3295 0.0000
Pm Ta
1 2
Direct
0.0000 0.0000 0.0000
0.2500 0.2500 0.2500
0.7500 0.7500 0.7500
```

relative energy among the computed polymorphs = 140.8 kJ per mole of atoms
electronic total energy = -23.11 eV per cell

[5]
Below is PmTa2 after structural relaxation, with properties calculated at the GGA-PBE level.

The structure in POSCAR format:
```
PmTa2
1.0
0.0000 6.1038 6.1038
6.1038 0.0000 6.1038
6.1038 6.1038 0.0000
Pm Ta
2 4
Direct
0.1250 0.1250 0.1250
0.8750 0.8750 0.8750
0.0000 0.0000 0.0000
0.0000 0.0000 0.5000
0.0000 0.5000 0.0000
0.5000 0.0000 0.0000
```

relative energy among the computed polymorphs = 404.5 kJ per mole of atoms
electronic total energy = -29.83 eV per cell

[6]
Below is PmTaTl after structural relaxation, with properties calculated at the GGA-PBE level.

The structure in POSCAR format:
```
PmTaTl
1.0
0.0000 3.4769 3.4769
3.4769 0.0000 3.4769
3.4769 3.4769 0.0000
Pm Ta Tl
1 1 1
Direct
0.0000 0.0000 0.0000
0.5000 0.5000 0.5000
0.2500 0.2500 0.2500
```

relative energy among the computed polymorphs = 0.0 kJ per mole of atoms
electronic total energy = -16.52 eV per cell

[7]
Below is PmTaTl after structural relaxation, with properties calculated at the GGA-PBE level.

The structure in POSCAR format:
```
PmTaTl
1.0
0.0000 3.5811 3.5811
3.5811 0.0000 3.5811
3.5811 3.5811 0.0000
Pm Ta Tl
1 1 1
Direct
0.0000 0.0000 0.0000
0.7500 0.7500 0.7500
0.2500 0.2500 0.2500
```

relative energy among the computed polymorphs = 41.3 kJ per mole of atoms
electronic total energy = -15.24 eV per cell

[8]
Below is PmUTa after structural relaxation, with properties calculated at the GGA-PBE level.

The structure in POSCAR format:
```
PmUTa
1.0
0.0000 3.4313 3.4313
3.4313 0.0000 3.4313
3.4313 3.4313 0.0000
Pm U Ta
1 1 1
Direct
0.0000 0.0000 0.0000
0.2500 0.2500 0.2500
0.5000 0.5000 0.5000
```

relative energy among the computed polymorphs = 0.0 kJ per mole of atoms
electronic total energy = -23.58 eV per cell

The highest electronic total energy belongs to which entry?
number 7

The lowest electronic total energy belongs to which entry?
number 3